4
Lattice="0.000 3.764 3.764 3.764 0.000 3.764 3.764 3.764 0.000" Properties=species:S:1:pos:R:3 comment="AcTlSbPt, relaxed, DFT PBE" crystal_system=cubic dft_energy_ev_per_atom=-4.61 space_group="No. 216" volume_a3_per_fu=107 pbc="T T T"
Ac 0.000 0.000 0.000
Tl 5.647 5.647 5.647
Sb 3.764 3.764 3.764
Pt 1.882 1.882 1.882

16
Lattice="5.591 0.000 0.000 0.000 10.743 0.000 0.000 0.000 5.916" Properties=species:S:1:pos:R:3 comment="Tb3Al4Cu, relaxed, DFT PBE" crystal_system=orthorhombic e_form_ev_per_atom=-0.37 dft_energy_ev_per_atom=-4.49 space_group="No. 59" volume_a3_per_fu=178 pbc="T T T"
Tb 1.398 0.068 1.029
Tb 1.398 5.303 1.029
Tb 1.398 8.057 3.326
Tb 4.194 2.686 2.589
Tb 4.194 5.440 4.886
Tb 4.194 10.674 4.886
Al 0.040 8.057 0.242
Al 1.398 1.127 3.920
Al 1.398 4.244 3.920
Al 2.756 8.057 0.242
Al 2.836 2.686 5.674
Al 4.194 6.499 1.996
Al 4.194 9.616 1.996
Al 5.551 2.686 5.674
Cu 1.398 2.686 1.922
Cu 4.194 8.057 3.993

12
Lattice="3.356 -5.820 0.000 3.356 5.820 0.000 -2.243 0.000 7.651" Properties=species:S:1:pos:R:3 comment="Pm6C2I3F, relaxed, DFT PBE" crystal_system=monoclinic dft_energy_ev_per_atom=-5.46 space_group="No. 12" volume_a3_per_fu=299 pbc="T T T"
Pm -0.057 2.033 6.320
Pm 1.013 0.000 1.331
Pm -0.057 -2.033 6.320
Pm 4.525 2.033 1.331
Pm 3.455 0.000 6.320
Pm 4.525 -2.033 1.331
C 3.356 3.886 0.000
C 3.356 -3.886 0.000
I -1.122 0.000 3.825
I 2.234 1.941 3.825
I 2.234 -1.941 3.825
F 3.356 0.000 0.000

5
Lattice="4.038 0.000 0.000 0.000 4.038 0.000 0.000 0.000 3.403" Properties=species:S:1:pos:R:3 comment="AlVCr2H, relaxed, DFT PBE" crystal_system=tetragonal dft_energy_ev_per_atom=-7.13 space_group="No. 123" volume_a3_per_fu=55 pbc="T T T"
Al 0.000 0.000 0.000
V 2.019 2.019 0.000
Cr 0.000 2.019 1.701
Cr 2.019 0.000 1.701
H 2.019 2.019 1.701

5
Lattice="3.977 0.000 0.000 0.000 3.977 0.000 0.000 0.000 5.448" Properties=species:S:1:pos:R:3 comment="NbTePO2, relaxed, DFT PBE" crystal_system=tetragonal dft_energy_ev_per_atom=-5.68 space_group="No. 123" volume_a3_per_fu=86 pbc="T T T"
Nb 0.000 0.000 0.000
Te 1.988 1.988 2.724
P 1.988 1.988 0.000
O 0.000 1.988 2.724
O 1.988 0.000 2.724

9
Lattice="-2.752 4.343 5.251 2.752 -4.343 5.251 2.752 4.343 -5.251" Properties=species:S:1:pos:R:3 comment="Er6Mg2Tc, relaxed, DFT PBE" crystal_system=orthorhombic e_form_ev_per_atom=0.18 dft_energy_ev_per_atom=-4.37 space_group="No. 71" volume_a3_per_fu=251 pbc="T T T"
Er 2.752 2.462 -1.655
Er 0.000 1.531 0.000
Er 2.752 2.462 1.655
Er 0.000 1.881 3.596
Er 0.000 7.155 0.000
Er 0.000 1.881 6.906
Mg 2.752 0.000 3.636
Mg 0.000 4.343 1.615
Tc 2.752 0.000 0.000

16
Lattice="4.223 2.438 7.177 -4.223 2.438 7.177 0.000 -4.877 7.177" Properties=species:S:1:pos:R:3 comment="Tb8GaSi3Te4, relaxed, DFT PBE" crystal_system=trigonal dft_energy_ev_per_atom=-5.36 space_group="No. 166" volume_a3_per_fu=443 pbc="T T T"
Tb -2.140 -1.235 12.382
Tb 0.000 0.000 5.151
Tb 0.000 -2.471 9.150
Tb -2.140 1.235 9.150
Tb 2.140 -1.235 12.382
Tb 0.000 2.471 12.382
Tb 0.000 0.000 16.381
Tb 2.140 1.235 9.150
Ga 0.000 0.000 10.766
Si -4.223 0.000 10.766
Si -2.112 1.219 3.589
Si 2.112 1.219 3.589
Te 0.000 0.000 0.000
Te -2.112 -1.219 7.177
Te -2.112 1.219 14.354
Te 0.000 2.438 7.177

7
Lattice="4.312 0.000 0.000 0.000 4.134 0.000 -0.049 0.000 4.986" Properties=species:S:1:pos:R:3 comment="LiCu4Ni2, relaxed, DFT PBE" crystal_system=monoclinic e_form_ev_per_atom=0.10 dft_energy_ev_per_atom=-4.17 space_group="No. 6" volume_a3_per_fu=89 pbc="T T T"
Li 0.000 0.000 0.000
Cu 0.729 2.067 1.214
Cu 2.062 0.000 3.572
Cu 2.792 2.067 4.956
Cu 4.212 0.000 2.452
Ni 0.693 2.067 3.660
Ni 2.866 2.067 2.459